Entry 1:
The following is a GGA-PBE calculation of a relaxed Rb2MnC crystal, from Alexandria.

a = 12.6962 Å, b = 12.6962 Å, c = 3.8408 Å
α = 90.00°, β = 90.00°, γ = 90.00°
Last column: nearest neighbours and their distance in Å.
Atoms (fractional coordinates):
Rb 0.0406 0.2500 0.1250  2 C 3.25, 2 Mn 3.52
Rb 0.2500 0.5406 0.3750  2 C 3.25, 2 Mn 3.52
Rb 0.2500 0.9594 0.8750  2 C 3.25, 2 Mn 3.52
Rb 0.4594 0.2500 0.6250  2 C 3.25, 2 Mn 3.52
Rb 0.5406 0.7500 0.6250  2 C 3.25, 2 Mn 3.52
Rb 0.7500 0.0406 0.8750  2 C 3.25, 2 Mn 3.52
Rb 0.7500 0.4594 0.3750  2 C 3.25, 2 Mn 3.52
Rb 0.9594 0.7500 0.1250  2 C 3.25, 2 Mn 3.52
Mn 0.0000 0.0000 0.5000  2 C 1.92
Mn 0.0000 0.5000 0.7500  2 C 1.92
Mn 0.5000 0.0000 0.2500  2 C 1.92
Mn 0.5000 0.5000 0.0000  2 C 1.92
C 0.0000 0.0000 0.0000  2 Mn 1.92
C 0.0000 0.5000 0.2500  2 Mn 1.92
C 0.5000 0.0000 0.7500  2 Mn 1.92
C 0.5000 0.5000 0.5000  2 Mn 1.92

Results
For the mass density, the calculation gives 2.55 g/cm3. The value obtained for the formation energy is 16.703 kcal/mol of atoms. As for the symmetry: I-42d. For the calculated volume, the calculation gives 619.11 Å³ per cell.

Entry 2:
The following is a GGA-PBE calculation of a relaxed ZrSbCl2 crystal, from Alexandria.

a = 14.9393 Å, b = 3.1235 Å, c = 5.6142 Å
α = 90.00°, β = 111.97°, γ = 90.00°
Last column: nearest neighbours and their distance in Å.
Atoms (fractional coordinates):
Zr 0.0000 0.0000 0.0000  4 Cl 2.60
Zr 0.5000 0.5000 0.0000  4 Cl 2.60
Sb 0.0000 0.5000 0.5000  2 Sb 3.12, 4 Zr 3.21, 4 Cl 3.49
Sb 0.5000 0.0000 0.5000  2 Sb 3.12, 4 Zr 3.21, 4 Cl 3.49
Cl 0.1499 0.5000 0.1497  2 Zr 2.60
Cl 0.3501 0.0000 0.8503  2 Zr 2.60
Cl 0.6499 0.0000 0.1497  2 Zr 2.60
Cl 0.8501 0.5000 0.8503  2 Zr 2.60

Results
For the mass density, the calculation gives 3.88 g/cm3. As for the symmetry: C2/m. For the calculated volume, the calculation gives 242.96 Å³ per cell. The value obtained for the uncorrected formation energy is -0.949 eV per atom.